Here is crystalline LiAl2Ag2 at its relaxed geometry from the Alexandria database. Energies are from GGA-PBE.

The structure in POSCAR format:
```
LiAl2Ag2
1.0
-2.008 2.008 6.078
2.008 -2.008 6.078
2.008 2.008 -6.078
Li Al Ag
1 2 2
Direct
0.000 0.000 0.000
0.396 0.396 0.000
0.604 0.604 0.000
0.250 0.750 0.500
0.750 0.250 0.500
```

Properties
ΔE to the lowest computed polymorph = 17.78 kJ per mole of atoms
SG = No. 139
Energy relative to the elements = 5 kJ/mol of atoms
Total energy = -0.1091 Ha/atom
Spin magnetization = 0.00 μB/atom